Record 1
! Li2MnP2O7 (GGA-PBEsol, optimized geometry); values from VASP
&SYSTEM
  ibrav = 0, nat = 24, ntyp = 4
/
ATOMIC_SPECIES
O 16.00 O.upf
Li 6.94 Li.upf
P 30.97 P.upf
Mn 54.94 Mn.upf
CELL_PARAMETERS angstrom
-3.1894 3.5892 -1.8689
0.4933 -1.6103 -7.0257
-5.5972 -5.4711 -2.6755
ATOMIC_POSITIONS crystal
O 0.4432 0.4596 0.3459
O 0.6634 0.1528 0.9999
O 0.5568 0.5404 0.6541
O 0.1740 0.3330 0.7851
O 0.9129 0.3060 0.4553
O 0.0871 0.6940 0.5447
O 0.4067 0.9568 0.6678
O 0.7815 0.3742 0.1421
O 0.2185 0.6258 0.8579
Li 0.3020 0.1780 0.4385
P 0.7711 0.1382 0.1743
Mn 0.8230 0.2763 0.7192
P 0.2289 0.8618 0.8257
O 0.5933 0.0432 0.3322
Mn 0.1770 0.7237 0.2808
O 0.9412 0.9612 0.7990
Li 0.7032 0.8707 0.9929
P 0.2626 0.5468 0.7002
O 0.8260 0.6670 0.2149
P 0.7374 0.4532 0.2998
Li 0.2968 0.1293 0.0071
Li 0.6980 0.8220 0.5615
O 0.3366 0.8472 0.0001
O 0.0588 0.0388 0.2010
! energy above the lowest structure with this stoichiometry = 0 meV/atom
! total moment = 10.0 Bohr magnetons per cell
! E_form (uncorrected) = -2.18 eV per atom
! symmetry = P-1, No. 2
! uncorrected energy = -176.3 eV for the cell shown



Record 2
! CrAuO3 (GGA-PBEsol, optimized geometry); values from VASP
&SYSTEM
  ibrav = 0, nat = 5, ntyp = 3
/
ATOMIC_SPECIES
Au 196.97 Au.upf
O 16.00 O.upf
Cr 52.00 Cr.upf
CELL_PARAMETERS angstrom
3.9743 0.0000 0.0000
0.0000 3.9743 0.0000
0.0000 0.0000 3.9743
ATOMIC_POSITIONS crystal
Au 0.0000 0.0000 0.0000
O 0.0000 0.5000 0.0000
O 0.0000 0.0000 0.5000
O 0.5000 0.0000 0.0000
Cr 0.5000 0.5000 0.5000
! total moment = 3.7 Bohr magnetons per cell
! E_form (uncorrected) = 0.37 eV per atom
! symmetry = Pm-3m, No. 221
! uncorrected energy = -28.1 eV for the cell shown



Record 3
! Ba3CaLa2Cu6O14 (GGA-PBEsol, optimized geometry); values from VASP
&SYSTEM
  ibrav = 0, nat = 26, ntyp = 5
/
ATOMIC_SPECIES
O 16.00 O.upf
La 138.91 La.upf
Cu 63.55 Cu.upf
Ba 137.33 Ba.upf
Ca 40.08 Ca.upf
CELL_PARAMETERS angstrom
-3.0165 1.8943 4.0888
2.4734 -3.4867 3.3364
8.0577 7.9012 2.2839
ATOMIC_POSITIONS crystal
O 0.5000 0.0000 0.8436
La 0.0000 0.0000 0.4955
Cu 0.0000 0.5000 0.6497
O 0.0000 0.5000 0.1641
Cu 0.5000 0.0000 0.0033
Ba 0.5000 0.5000 0.8170
O 0.7507 0.7507 0.6299
O 0.0000 0.5000 0.8436
O 0.2841 0.2841 0.0181
Ca 0.5000 0.5000 0.5011
O 0.5000 0.0000 0.1641
O 0.7159 0.7159 0.0181
O 0.7424 0.7424 0.3598
O 0.2576 0.2576 0.3598
La 0.5000 0.5000 0.1924
O 0.7504 0.2496 0.6276
Cu 0.5000 0.0000 0.6497
Ba 0.0000 0.0000 0.8152
O 0.2581 0.7419 0.3558
O 0.7419 0.2581 0.3558
O 0.2493 0.2493 0.6299
Ba 0.0000 0.0000 0.1791
Cu 0.0000 0.5000 0.3479
Cu 0.0000 0.5000 0.0033
Cu 0.5000 0.0000 0.3479
O 0.2496 0.7504 0.6276
! total moment = 0.0 Bohr magnetons per cell
! E_form (uncorrected) = -1.84 eV per atom
! symmetry = Cmm2, No. 35
! uncorrected energy = -166.6 eV for the cell shown



Record 4
! La3RuO7 (GGA-PBEsol, optimized geometry); values from VASP
&SYSTEM
  ibrav = 0, nat = 44, ntyp = 3
/
ATOMIC_SPECIES
O 16.00 O.upf
Ru 101.07 Ru.upf
La 138.91 La.upf
CELL_PARAMETERS angstrom
-3.9775 -0.6056 -3.9877
2.5408 -8.2890 -1.2754
-8.7551 -0.7397 8.8450
ATOMIC_POSITIONS crystal
O 0.8495 0.7603 0.7538
O 0.9339 0.0086 0.3312
Ru 0.5460 0.7854 0.8333
O 0.0661 0.9914 0.6688
O 0.3824 0.7466 0.6932
La 0.9895 0.5689 0.8667
O 0.3495 0.2397 0.7462
O 0.4515 0.4361 0.1737
La 0.0198 0.7037 0.5732
O 0.6176 0.2534 0.3068
La 0.5198 0.2963 0.9268
La 0.4895 0.4311 0.6333
O 0.4339 0.9914 0.1688
O 0.9515 0.5639 0.3263
O 0.7580 0.1895 0.5754
La 0.5105 0.5689 0.3667
O 0.7631 0.8305 0.9670
O 0.5485 0.5639 0.8263
Ru 0.9540 0.7854 0.3333
O 0.2420 0.8105 0.4246
La 0.4856 0.0027 0.3603
O 0.7388 0.5082 0.5108
O 0.6505 0.7603 0.2538
La 0.0144 0.0027 0.8603
O 0.8824 0.2534 0.8068
La 0.4802 0.7037 0.0732
La 0.5144 0.9973 0.6397
O 0.7369 0.8305 0.4670
O 0.1176 0.7466 0.1932
O 0.2580 0.8105 0.9246
O 0.2388 0.4918 0.9892
O 0.7612 0.5082 0.0107
O 0.7420 0.1895 0.0754
O 0.5661 0.0086 0.8312
O 0.2612 0.4918 0.4892
O 0.2631 0.1695 0.5330
O 0.0485 0.4361 0.6737
O 0.1505 0.2397 0.2462
Ru 0.0460 0.2146 0.6667
La 0.9802 0.2963 0.4268
La 0.0105 0.4311 0.1333
O 0.2369 0.1695 0.0330
La 0.9856 0.9973 0.1397
Ru 0.4540 0.2146 0.1667
! energy above the lowest structure with this stoichiometry = 5 meV/atom
! total moment = 12.0 Bohr magnetons per cell
! E_form (uncorrected) = -2.73 eV per atom
! symmetry = P2_1/c, No. 14
! uncorrected energy = -372.1 eV for the cell shown



Record 5
! SiIrClO2 (GGA-PBEsol, optimized geometry); values from VASP
&SYSTEM
  ibrav = 0, nat = 5, ntyp = 4
/
ATOMIC_SPECIES
Si 28.09 Si.upf
O 16.00 O.upf
Cl 35.45 Cl.upf
Ir 192.22 Ir.upf
CELL_PARAMETERS angstrom
3.3196 0.0000 0.0000
0.0000 3.3196 0.0000
0.0000 0.0000 6.8976
ATOMIC_POSITIONS crystal
Si 0.0000 0.0000 0.0000
O 0.5000 0.0000 0.0000
O 0.0000 0.5000 0.0000
Cl 0.0000 0.0000 0.5000
Ir 0.5000 0.5000 0.5000
! total moment = 0.3 Bohr magnetons per cell
! E_form (uncorrected) = -0.45 eV per atom
! symmetry = P4/mmm, No. 123
! uncorrected energy = -30.3 eV for the cell shown



Record 6
! MnMoRh2 (GGA-PBEsol, optimized geometry); values from VASP
&SYSTEM
  ibrav = 0, nat = 4, ntyp = 3
/
ATOMIC_SPECIES
Mo 95.94 Mo.upf
Mn 54.94 Mn.upf
Rh 102.91 Rh.upf
CELL_PARAMETERS angstrom
-0.9424 -2.9610 -0.3264
1.1707 -0.6829 2.8152
-4.8657 1.2910 2.3364
ATOMIC_POSITIONS crystal
Mo 0.5000 0.5000 0.7398
Mn 0.0000 0.0000 0.4845
Rh 0.0000 0.0000 0.9941
Rh 0.5000 0.5000 0.2815
! energy above the lowest structure with this stoichiometry = 248 meV/atom
! total moment = 1.5 Bohr magnetons per cell
! symmetry = P4mm, No. 99
! ΔE_f = 101 meV/atom
! uncorrected energy = -37.4 eV for the cell shown



Record 7
! MgInIN2 (GGA-PBEsol, optimized geometry); values from VASP
&SYSTEM
  ibrav = 0, nat = 5, ntyp = 4
/
ATOMIC_SPECIES
Mg 24.30 Mg.upf
I 126.90 I.upf
N 14.01 N.upf
In 114.82 In.upf
CELL_PARAMETERS angstrom
-4.3413 0.2460 -0.5939
0.3000 -2.8106 -3.3571
-0.7386 -4.3671 3.5902
ATOMIC_POSITIONS crystal
Mg 0.0000 0.0000 0.0000
I 0.0000 0.0000 0.5000
N 0.5000 0.0000 0.0000
N 0.0000 0.5000 0.0000
In 0.5000 0.5000 0.5000
! total moment = 3.8 Bohr magnetons per cell
! E_form (uncorrected) = 1.07 eV per atom
! symmetry = P4/mmm, No. 123
! uncorrected energy = -18.2 eV for the cell shown



Record 8
! FeBi3O (GGA-PBEsol, optimized geometry); values from VASP
&SYSTEM
  ibrav = 0, nat = 5, ntyp = 3
/
ATOMIC_SPECIES
O 16.00 O.upf
Fe 55.84 Fe.upf
Bi 208.98 Bi.upf
CELL_PARAMETERS angstrom
-4.2721 2.2040 1.0661
-2.4408 -4.0020 -1.5071
0.1919 -1.8361 4.5648
ATOMIC_POSITIONS crystal
O 0.5000 0.5000 0.5000
Fe 0.0000 0.0000 0.0000
Bi 0.0000 0.5000 0.0000
Bi 0.5000 0.0000 0.0000
Bi 0.0000 0.0000 0.5000
! total moment = 0.0 Bohr magnetons per cell
! E_form (uncorrected) = 0.64 eV per atom
! symmetry = Pm-3m, No. 221
! uncorrected energy = -23.8 eV for the cell shown



Record 9
! Ca2RhAu (GGA-PBEsol, optimized geometry); values from VASP
&SYSTEM
  ibrav = 0, nat = 4, ntyp = 3
/
ATOMIC_SPECIES
Ca 40.08 Ca.upf
Au 196.97 Au.upf
Rh 102.91 Rh.upf
CELL_PARAMETERS angstrom
3.3966 0.0000 0.0000
0.0000 3.3966 0.0000
0.0000 0.0000 7.2241
ATOMIC_POSITIONS crystal
Ca 0.0000 0.0000 0.7676
Ca 0.0000 0.0000 0.2324
Au 0.5000 0.5000 0.5000
Rh 0.5000 0.5000 0.0000
! total moment = 0.0 Bohr magnetons per cell
! symmetry = P4/mmm, No. 123
! ΔE_f = -504 meV/atom
! uncorrected energy = -18.3 eV for the cell shown



Record 10
! LiMgIr2 (GGA-PBEsol, optimized geometry); values from VASP
&SYSTEM
  ibrav = 0, nat = 4, ntyp = 3
/
ATOMIC_SPECIES
Li 6.94 Li.upf
Mg 24.30 Mg.upf
Ir 192.22 Ir.upf
CELL_PARAMETERS angstrom
2.7328 0.0000 0.0000
-1.3664 4.3335 -0.0186
0.0000 -0.7816 4.7165
ATOMIC_POSITIONS crystal
Li 0.0000 0.0000 0.5000
Mg 0.5000 0.0000 0.0000
Ir 0.2494 0.4988 0.2659
Ir 0.7506 0.5012 0.7341
! total moment = 0.0 Bohr magnetons per cell
! symmetry = C2/m, No. 12
! ΔE_f = -201 meV/atom
! uncorrected energy = -24.1 eV for the cell shown



Record 11
! SrTaAg (GGA-PBEsol, optimized geometry); values from VASP
&SYSTEM
  ibrav = 0, nat = 3, ntyp = 3
/
ATOMIC_SPECIES
Ta 180.95 Ta.upf
Sr 87.62 Sr.upf
Ag 107.87 Ag.upf
CELL_PARAMETERS angstrom
-4.6387 0.7786 1.2045
-3.4847 -2.8789 -1.7730
-2.3025 -3.1122 2.9305
ATOMIC_POSITIONS crystal
Ta 0.5000 0.5000 0.5000
Sr 0.0000 0.0000 0.0000
Ag 0.2500 0.2500 0.2500
! total moment = 2.2 Bohr magnetons per cell
! symmetry = F-43m, No. 216
! ΔE_f = 1258 meV/atom
! uncorrected energy = -13.9 eV for the cell shown



Record 12
! NaNb2Ru (GGA-PBEsol, optimized geometry); values from VASP
&SYSTEM
  ibrav = 0, nat = 4, ntyp = 3
/
ATOMIC_SPECIES
Nb 92.91 Nb.upf
Ru 101.07 Ru.upf
Na 22.99 Na.upf
CELL_PARAMETERS angstrom
4.5363 0.0000 0.0000
2.2682 3.9286 0.0000
2.2682 1.3095 3.7039
ATOMIC_POSITIONS crystal
Nb 0.7500 0.7500 0.7500
Nb 0.2500 0.2500 0.2500
Ru 0.5000 0.5000 0.5000
Na 0.0000 0.0000 0.0000
! total moment = 0.0 Bohr magnetons per cell
! symmetry = Fm-3m, No. 225
! ΔE_f = 607 meV/atom
! uncorrected energy = -30.8 eV for the cell shown